Record 1
K2NbReN4: optimized geometry, GGA-PBE.

Output
total energy = -7.6539 eV/atom

a b c (Å): 5.982 5.982 5.982
angles (deg): 121.71 121.71 87.06
Element x y z (fractional)
K1 0.750 0.250 0.500
K2 0.500 0.500 0.000
Re1 0.000 0.000 0.000
N1 0.230 0.364 0.347
N2 0.017 0.883 0.653
N3 0.117 0.770 0.134
N4 0.636 0.983 0.866
Nb1 0.250 0.750 0.500

Record 2
Zr2TlCo: optimized geometry, GGA-PBE.

Output
total energy = -6.3753 eV/atom

a b c (Å): 4.780 4.780 4.780
angles (deg): 60.00 60.00 60.00
Element x y z (fractional)
Tl1 0.500 0.500 0.500
Zr1 0.750 0.750 0.750
Zr2 0.000 0.000 0.000
Co1 0.250 0.250 0.250

Record 3
Ni3Br2: optimized geometry, GGA-PBE.

Output
total energy = -3.6192 eV/atom

a b c (Å): 5.986 5.986 6.436
angles (deg): 117.71 62.29 120.00
Element x y z (fractional)
Br1 0.388 0.612 0.836
Br2 0.112 0.888 0.664
Br3 0.888 0.112 0.336
Br4 0.612 0.388 0.164
Ni1 0.524 0.250 0.750
Ni2 0.024 0.524 0.250
Ni3 0.476 0.750 0.250
Ni4 0.976 0.476 0.750
Ni5 0.250 0.976 0.250
Ni6 0.750 0.024 0.750

Record 4
Dy2Cu2C3: optimized geometry, GGA-PBE.

Output
total energy = -6.0234 eV/atom

a b c (Å): 5.609 5.609 5.404
angles (deg): 106.67 106.67 36.57
Element x y z (fractional)
Cu1 0.150 0.150 0.859
Cu2 0.850 0.850 0.141
Dy1 0.616 0.616 0.293
Dy2 0.384 0.384 0.707
C1 0.287 0.287 0.240
C2 0.000 0.000 0.000
C3 0.713 0.713 0.760

Record 5
KTbGa4Pt2: optimized geometry, GGA-PBE.

Output
total energy = -4.3172 eV/atom

a b c (Å): 7.058 5.676 5.676
angles (deg): 44.77 90.00 90.00
Element x y z (fractional)
Tb1 0.500 0.927 0.927
Pt1 0.000 0.793 0.793
Pt2 0.500 0.209 0.209
Ga1 0.692 0.646 0.646
Ga2 0.198 0.353 0.353
Ga3 0.308 0.646 0.646
Ga4 0.802 0.353 0.353
K1 0.000 0.072 0.072

Record 6
ZrFe2Ni: optimized geometry, GGA-PBE.

Output
formation energy from the elements = -0.068 eV per atom

a b c (Å): 4.271 4.271 4.271
angles (deg): 60.00 60.00 60.00
Element x y z (fractional)
Fe1 0.250 0.250 0.250
Fe2 0.000 0.000 0.000
Zr1 0.500 0.500 0.500
Ni1 0.750 0.750 0.750

Record 7
GaFe2Sb: optimized geometry, GGA-PBE.

Output
total energy = -5.7622 eV/atom

a b c (Å): 6.035 6.035 6.035
angles (deg): 90.00 90.00 90.00
Element x y z (fractional)
Fe1 0.255 0.745 0.745
Fe2 0.745 0.255 0.745
Fe3 0.255 0.255 0.745
Fe4 0.745 0.745 0.255
Fe5 0.255 0.745 0.255
Fe6 0.255 0.255 0.255
Fe7 0.745 0.255 0.255
Fe8 0.745 0.745 0.745
Sb1 0.500 0.000 0.000
Sb2 0.000 0.500 0.000
Sb3 0.000 0.000 0.500
Sb4 0.000 0.000 0.000
Ga1 0.000 0.500 0.500
Ga2 0.500 0.500 0.500
Ga3 0.500 0.000 0.500
Ga4 0.500 0.500 0.000

Record 8
LuNiPd: optimized geometry, GGA-PBE.

Output
formation energy from the elements = -0.109 eV per atom

a b c (Å): 4.373 4.373 4.373
angles (deg): 60.00 60.00 60.00
Element x y z (fractional)
Lu1 0.000 0.000 0.000
Ni1 0.250 0.250 0.250
Pd1 0.750 0.750 0.750

Record 9
GaCoCuRe: optimized geometry, GGA-PBE.

Output
total energy = -6.3399 eV/atom

a b c (Å): 4.182 4.182 4.182
angles (deg): 60.00 60.00 60.00
Element x y z (fractional)
Re1 0.250 0.250 0.250
Cu1 0.750 0.750 0.750
Ga1 0.000 0.000 0.000
Co1 0.500 0.500 0.500

Record 10
NdAgTe3Pb: optimized geometry, GGA-PBE.

Output
total energy = -4.1957 eV/atom

a b c (Å): 7.765 7.765 11.524
angles (deg): 90.00 90.00 146.97
Element x y z (fractional)
Pb1 0.268 0.732 0.750
Pb2 0.732 0.268 0.250
Nd1 0.500 0.500 0.500
Nd2 0.500 0.500 0.000
Te1 0.148 0.852 0.061
Te2 0.852 0.148 0.939
Te3 0.405 0.595 0.250
Te4 0.148 0.852 0.439
Te5 0.595 0.405 0.750
Te6 0.852 0.148 0.561
Ag1 0.973 0.027 0.750
Ag2 0.027 0.973 0.250

Record 11
CsSrPa: optimized geometry, GGA-PBE.

Output
total energy = -2.1945 eV/atom

a b c (Å): 6.420 6.420 6.420
angles (deg): 60.00 60.00 60.00
Element x y z (fractional)
Cs1 0.750 0.750 0.750
Sr1 0.000 0.000 0.000
Pa1 0.250 0.250 0.250

Record 12
LaAl2CuNi: optimized geometry, GGA-PBE.

Output
total energy = -4.8074 eV/atom

a b c (Å): 4.293 4.293 9.892
angles (deg): 90.00 90.00 90.00
Element x y z (fractional)
Al1 0.000 0.000 0.500
Al2 0.500 0.500 0.500
Al3 0.500 0.000 0.130
Al4 0.000 0.500 0.870
Cu1 0.500 0.500 0.000
Cu2 0.000 0.000 0.000
La1 0.000 0.500 0.251
La2 0.500 0.000 0.749
Ni1 0.000 0.500 0.626
Ni2 0.500 0.000 0.374

Record 13
YFeTcBi: optimized geometry, GGA-PBE.

Output
total energy = -7.0213 eV/atom

a b c (Å): 4.707 4.707 4.707
angles (deg): 60.00 60.00 60.00
Element x y z (fractional)
Y1 0.500 0.500 0.500
Fe1 0.750 0.750 0.750
Bi1 0.000 0.000 0.000
Tc1 0.250 0.250 0.250

Record 14
SmTlSnSe3: optimized geometry, GGA-PBE.

Output
total energy = -4.5278 eV/atom

a b c (Å): 8.173 8.173 11.713
angles (deg): 90.01 90.01 29.80
Element x y z (fractional)
Se1 0.128 0.128 0.999
Se2 0.510 0.510 0.250
Se3 0.872 0.872 0.499
Se4 0.872 0.872 0.001
Se5 0.490 0.490 0.750
Se6 0.128 0.128 0.501
Tl1 0.193 0.193 0.750
Tl2 0.807 0.807 0.250
Sn1 0.872 0.872 0.750
Sn2 0.128 0.128 0.250
Sm1 0.500 0.500 0.500
Sm2 0.500 0.500 0.000

Record 15
GdErCd4: optimized geometry, GGA-PBE.

Output
formation energy from the elements = -0.324 eV per atom

a b c (Å): 6.010 6.010 6.010
angles (deg): 131.35 110.72 89.17
Element x y z (fractional)
Er1 0.496 0.496 0.000
Cd1 0.080 0.833 0.246
Cd2 0.910 0.167 0.744
Cd3 0.423 0.167 0.256
Cd4 0.587 0.833 0.754
Gd1 0.004 0.504 0.500

Record 16
SrTbTeAuS2: optimized geometry, GGA-PBE.

Output
total energy = -4.9016 eV/atom

a b c (Å): 7.534 7.534 11.031
angles (deg): 90.00 90.00 148.63
Element x y z (fractional)
Te1 0.111 0.889 0.750
Te2 0.889 0.111 0.250
S1 0.623 0.377 0.433
S2 0.623 0.377 0.067
S3 0.377 0.623 0.567
S4 0.377 0.623 0.933
Tb1 0.000 0.000 0.500
Tb2 0.000 0.000 0.000
Sr1 0.207 0.793 0.250
Sr2 0.793 0.207 0.750
Au1 0.520 0.480 0.250
Au2 0.480 0.520 0.750

Record 17
CsHoNiS3: optimized geometry, GGA-PBE.

Output
total energy = -5.2104 eV/atom

a b c (Å): 9.354 3.943 9.636
angles (deg): 90.00 111.66 90.00
Element x y z (fractional)
Ni1 0.924 0.750 0.902
Ni2 0.076 0.250 0.098
S1 0.476 0.750 0.658
S2 0.125 0.250 0.348
S3 0.170 0.750 0.050
S4 0.830 0.250 0.950
S5 0.524 0.250 0.342
S6 0.875 0.750 0.652
Cs1 0.788 0.750 0.256
Cs2 0.212 0.250 0.744
Ho1 0.330 0.750 0.361
Ho2 0.670 0.250 0.639

Record 18
TmZnAu: optimized geometry, GGA-PBE.

Output
formation energy from the elements = -0.173 eV per atom

a b c (Å): 4.696 4.696 4.696
angles (deg): 60.00 60.00 60.00
Element x y z (fractional)
Tm1 0.000 0.000 0.000
Zn1 0.750 0.750 0.750
Au1 0.250 0.250 0.250

Record 19
Ta3Ni5Sb5: optimized geometry, GGA-PBE.

Output
total energy = -6.7309 eV/atom

a b c (Å): 5.982 7.193 7.239
angles (deg): 80.11 65.59 65.43
Element x y z (fractional)
Ni1 0.753 0.113 0.281
Ni2 0.981 0.500 0.500
Ni3 0.148 0.887 0.719
Ni4 0.544 0.697 0.084
Ni5 0.326 0.303 0.916
Sb1 0.878 0.420 0.226
Sb2 0.693 0.000 0.000
Sb3 0.091 0.822 0.407
Sb4 0.523 0.580 0.774
Sb5 0.321 0.178 0.593
Ta1 0.397 0.404 0.202
Ta2 0.003 0.596 0.798
Ta3 0.193 0.000 0.000

Record 20
YGa2Tc: optimized geometry, GGA-PBE.

Output
total energy = -5.6700 eV/atom

a b c (Å): 4.680 4.680 4.680
angles (deg): 60.00 60.00 60.00
Element x y z (fractional)
Ga1 0.000 0.000 0.000
Ga2 0.750 0.750 0.750
Y1 0.250 0.250 0.250
Tc1 0.500 0.500 0.500